# 1
{"formula": "CsGeP", "functional": "PBE", "state": "optimized geometry", "lattice_angstrom": [[3.912, 0.000, 0.000], [-1.956, 3.388, 0.000], [0.000, 0.000, 20.119]], "species": ["Cs", "Cs", "Cs", "Ge", "Ge", "Ge", "P", "P", "P"], "fractional_positions": [[0.000, 0.000, 0.000], [0.333, 0.667, 0.667], [0.667, 0.333, 0.333], [0.000, 0.000, 0.481], [0.333, 0.667, 0.148], [0.667, 0.333, 0.814], [0.000, 0.000, 0.203], [0.333, 0.667, 0.870], [0.667, 0.333, 0.536]], "e_form_ev_per_atom": -0.216, "polymorph_energy_mev_per_atom": 43}

---

# 2
{"formula": "Ca2PmSnO6", "functional": "PBE", "state": "optimized geometry", "lattice_angstrom": [[5.805, 0.000, 0.000], [0.000, 6.025, 0.000], [-5.649, 0.000, 8.190]], "species": ["Ca", "Ca", "Ca", "Ca", "Pm", "Pm", "Sn", "Sn", "O", "O", "O", "O", "O", "O", "O", "O", "O", "O", "O", "O"], "fractional_positions": [[0.229, 0.054, 0.251], [0.229, 0.446, 0.751], [0.771, 0.554, 0.249], [0.771, 0.946, 0.749], [0.500, 0.000, 0.000], [0.500, 0.500, 0.500], [0.000, 0.000, 0.500], [0.000, 0.500, 0.000], [0.108, 0.217, 0.923], [0.108, 0.283, 0.423], [0.216, 0.692, 0.931], [0.216, 0.808, 0.431], [0.370, 0.069, 0.733], [0.370, 0.431, 0.233], [0.630, 0.569, 0.767], [0.630, 0.931, 0.267], [0.784, 0.192, 0.569], [0.784, 0.308, 0.069], [0.892, 0.717, 0.577], [0.892, 0.783, 0.077]], "raw_formation_energy_mev_per_atom": -2458}

---

# 3
{"formula": "Pm6SmY2", "functional": "PBE", "state": "optimized geometry", "lattice_angstrom": [[6.545, -3.775, 0.000], [6.545, 3.775, 0.000], [-0.006, 0.000, 6.237]], "species": ["Pm", "Pm", "Pm", "Pm", "Pm", "Pm", "Sm", "Y", "Y"], "fractional_positions": [[0.124, 0.688, 0.793], [0.312, 0.312, 0.208], [0.312, 0.876, 0.207], [0.688, 0.124, 0.793], [0.688, 0.688, 0.792], [0.876, 0.312, 0.207], [0.500, 0.500, 0.500], [0.166, 0.166, 0.712], [0.834, 0.834, 0.288]], "e_form_ev_per_atom": 0.213, "polymorph_energy_mev_per_atom": 156}

---

Q: Number 3 is which compound?
A: Pm6SmY2

---

Q: Number 2 is which compound?
A: Ca2PmSnO6